Record 1
Here is a geometry-optimized ThCdAsN structure from Alexandria. Energies are from PBE.

Lattice parameters (Å, degrees): 4.210 4.210 11.322 79.28 79.28 60.00
Fractional positions:
As (0.606, 0.606, 0.181)
Cd (0.696, 0.696, 0.912)
Cd (0.304, 0.304, 0.088)
Th (0.876, 0.876, 0.372)
Th (0.124, 0.124, 0.628)
N (0.193, 0.193, 0.420)
N (0.807, 0.807, 0.580)
As (0.394, 0.394, 0.819)

Computed properties:
Calculated volume in Å³/cell: 170
Formation energy from raw total energies in meV/atom: -1032
Magnetic moment in μB per atom: 0.000


Record 2
Here is a geometry-optimized Tb2Cu2Hg structure from Alexandria. Energies are from PBE.

Lattice parameters (Å, degrees): 3.667 4.153 7.362 106.38 90.00 90.00
Fractional positions:
Cu (0.000, 0.798, 0.596)
Tb (0.500, 0.632, 0.265)
Tb (0.500, 0.368, 0.735)
Cu (0.000, 0.202, 0.404)
Hg (0.000, 0.000, 0.000)

Computed properties:
Calculated volume in Å³/cell: 108
Formation energy from the elements in meV per atom: -361
Magnetic moment in μB per atom: 0.000


Record 3
Here is a geometry-optimized Li2TaBe structure from Alexandria. Energies are from PBE.

Lattice parameters (Å, degrees): 2.626 2.626 9.450 90.00 90.00 111.18
Fractional positions:
Ta (0.500, 0.500, 0.250)
Li (0.000, 0.000, 0.525)
Li (0.000, 0.000, 0.975)
Be (0.500, 0.500, 0.750)

Computed properties:
Calculated volume in Å³/cell: 61
Formation energy from the elements in meV per atom: 400
Magnetic moment in μB per atom: 0.000


Record 4
Here is a geometry-optimized LiHo2RhO6 structure from Alexandria. Energies are from PBE.

Lattice parameters (Å, degrees): 5.267 5.717 7.563 90.00 88.95 90.00
Fractional positions:
O (0.310, 0.683, 0.057)
O (0.672, 0.297, 0.564)
Ho (0.523, 0.584, 0.754)
Li (0.000, 0.500, 0.500)
Ho (0.477, 0.416, 0.246)
O (0.190, 0.183, 0.443)
Ho (0.023, 0.916, 0.254)
Rh (0.500, 0.000, 0.500)
O (0.328, 0.703, 0.436)
O (0.810, 0.817, 0.557)
Ho (0.977, 0.084, 0.746)
O (0.624, 0.044, 0.253)
O (0.876, 0.544, 0.247)
O (0.690, 0.317, 0.943)
O (0.172, 0.203, 0.064)
O (0.124, 0.456, 0.753)
O (0.376, 0.956, 0.747)
O (0.828, 0.797, 0.936)
Rh (0.000, 0.500, 0.000)
Li (0.500, 0.000, 0.000)

Computed properties:
Calculated volume in Å³/cell: 228
Formation energy from raw total energies in meV/atom: -2323
Magnetic moment in μB per atom: 0.200


Record 5
Here is a geometry-optimized Hf4InRe structure from Alexandria. Energies are from PBE.

Lattice parameters (Å, degrees): 4.686 4.695 8.012 72.92 72.99 60.06
Fractional positions:
Re (0.000, 0.000, 0.000)
Hf (0.116, 0.114, 0.654)
Hf (0.884, 0.886, 0.346)
Hf (0.633, 0.634, 0.100)
Hf (0.367, 0.366, 0.900)
In (0.500, 0.500, 0.500)

Computed properties:
Calculated volume in Å³/cell: 144
Formation energy from the elements in meV per atom: 168
Magnetic moment in μB per atom: 0.000
Energy relative to the lowest polymorph listed for this composition in kJ/mol of formula units: 198


Record 6
Here is a geometry-optimized Cs2RbTlIn structure from Alexandria. Energies are from PBE.

Lattice parameters (Å, degrees): 6.162 6.162 5.715 90.00 90.00 90.00
Fractional positions:
Tl (0.000, 0.000, 0.500)
Cs (0.000, 0.500, 0.000)
Rb (0.500, 0.500, 0.500)
Cs (0.500, 0.000, 0.000)
In (0.000, 0.000, 0.000)

Computed properties:
Calculated volume in Å³/cell: 217
Formation energy from the elements in meV per atom: 499
Magnetic moment in μB per atom: 0.067
Energy relative to the lowest polymorph listed for this composition in kJ/mol of formula units: 202


Record 7
Here is a geometry-optimized HoZrSc14 structure from Alexandria. Energies are from PBE.

Lattice parameters (Å, degrees): 6.559 6.559 9.160 90.00 90.00 90.04
Fractional positions:
Zr (0.875, 0.125, 0.000)
Sc (0.630, 0.370, 0.751)
Sc (0.875, 0.625, 0.500)
Ho (0.375, 0.625, 0.000)
Sc (0.120, 0.880, 0.249)
Sc (0.630, 0.880, 0.751)
Sc (0.875, 0.125, 0.500)
Sc (0.375, 0.125, 0.500)
Sc (0.375, 0.125, 0.000)
Sc (0.120, 0.370, 0.249)
Sc (0.120, 0.880, 0.751)
Sc (0.375, 0.625, 0.500)
Sc (0.120, 0.370, 0.751)
Sc (0.875, 0.625, 0.000)
Sc (0.630, 0.880, 0.249)
Sc (0.630, 0.370, 0.249)

Computed properties:
Calculated volume in Å³/cell: 394
Formation energy from the elements in meV per atom: 45
Magnetic moment in μB per atom: 0.000


Record 8
Here is a geometry-optimized Ba5SnI4 structure from Alexandria. Energies are from PBE.

Lattice parameters (Å, degrees): 7.080 8.739 8.739 80.56 66.10 66.10
Fractional positions:
I (0.406, 0.402, 0.788)
Ba (0.283, 0.817, 0.618)
Ba (0.101, 0.618, 0.183)
Ba (0.902, 0.382, 0.817)
Ba (0.501, 0.000, 0.000)
Sn (0.001, 0.000, 0.000)
I (0.596, 0.598, 0.212)
I (0.808, 0.788, 0.598)
I (0.194, 0.212, 0.402)
Ba (0.719, 0.183, 0.382)

Computed properties:
Calculated volume in Å³/cell: 452
Formation energy from raw total energies in meV/atom: -1269
Magnetic moment in μB per atom: 0.000


Record 9
Here is a geometry-optimized Be7Cd2Au12 structure from Alexandria. Energies are from PBE.

Lattice parameters (Å, degrees): 3.684 10.131 10.131 120.00 90.00 90.00
Fractional positions:
Be (0.749, 0.103, 0.703)
Be (0.749, 0.297, 0.400)
Au (0.752, 0.374, 0.911)
Au (0.752, 0.537, 0.626)
Cd (0.748, 0.667, 0.333)
Au (0.751, 0.862, 0.120)
Be (0.251, 0.897, 0.297)
Au (0.249, 0.743, 0.862)
Au (0.248, 0.463, 0.374)
Be (0.251, 0.703, 0.600)
Cd (0.252, 0.333, 0.667)
Be (0.500, 0.000, 0.000)
Au (0.248, 0.911, 0.537)
Be (0.749, 0.600, 0.897)
Au (0.249, 0.138, 0.880)
Au (0.751, 0.880, 0.743)
Au (0.249, 0.120, 0.257)
Au (0.248, 0.626, 0.089)
Be (0.251, 0.400, 0.103)
Au (0.752, 0.089, 0.463)
Au (0.751, 0.257, 0.138)

Computed properties:
Calculated volume in Å³/cell: 327
Formation energy from the elements in meV per atom: -72
Magnetic moment in μB per atom: 0.000


Record 10
Here is a geometry-optimized AcTmZn structure from Alexandria. Energies are from PBE.

Lattice parameters (Å, degrees): 4.042 5.116 5.116 120.00 90.00 90.00
Fractional positions:
Ac (0.000, 0.000, 0.000)
Tm (0.500, 0.667, 0.333)
Zn (0.501, 0.333, 0.667)

Computed properties:
Calculated volume in Å³/cell: 92
Formation energy from the elements in meV per atom: -25
Magnetic moment in μB per atom: 0.002
Energy relative to the lowest polymorph listed for this composition in kJ/mol of formula units: 36


Record 11
Here is a geometry-optimized Pr2Sm5Ho structure from Alexandria. Energies are from PBE.

Lattice parameters (Å, degrees): 5.131 7.275 14.560 90.00 90.00 90.00
Fractional positions:
Pr (0.500, 0.249, 0.625)
Pr (0.500, 0.251, 0.125)
Sm (0.000, 0.500, 0.500)
Sm (0.000, 0.501, 0.249)
Sm (0.500, 0.249, 0.876)
Sm (0.000, 0.001, 0.251)
Pr (0.500, 0.749, 0.875)
Sm (0.000, 0.000, 0.000)
Sm (0.000, 0.999, 0.749)
Sm (0.500, 0.749, 0.624)
Ho (0.000, 0.000, 0.500)
Sm (0.000, 0.499, 0.751)
Pr (0.500, 0.751, 0.375)
Sm (0.500, 0.251, 0.376)
Ho (0.000, 0.500, 0.000)
Sm (0.500, 0.751, 0.124)

Computed properties:
Calculated volume in Å³/cell: 543
Formation energy from the elements in meV per atom: 15
Magnetic moment in μB per atom: 0.000
Energy relative to the lowest polymorph listed for this composition in kJ/mol of formula units: 0


Record 12
Here is a geometry-optimized K2NpS5 structure from Alexandria. Energies are from PBE.

Lattice parameters (Å, degrees): 6.517 7.539 6.994 122.60 117.77 90.01
Fractional positions:
S (0.748, 0.776, 0.014)
S (0.748, 0.238, 0.014)
Np (0.991, 0.991, 0.983)
S (0.747, 0.747, 0.494)
K (0.774, 0.274, 0.548)
S (0.266, 0.776, 0.014)
K (0.237, 0.737, 0.473)
S (0.266, 0.238, 0.014)

Computed properties:
Calculated volume in Å³/cell: 241
Formation energy from raw total energies in meV/atom: -710
Magnetic moment in μB per atom: 0.000


Record 13
Here is a geometry-optimized LiCaW2 structure from Alexandria. Energies are from PBE.

Lattice parameters (Å, degrees): 3.343 3.343 7.407 90.00 90.00 90.00
Fractional positions:
W (0.500, 0.500, 0.181)
Ca (0.000, 0.000, 0.485)
W (0.000, 0.000, 0.032)
Li (0.500, 0.500, 0.802)

Computed properties:
Calculated volume in Å³/cell: 83
Formation energy from the elements in meV per atom: 518
Magnetic moment in μB per atom: 0.000
Energy relative to the lowest polymorph listed for this composition in kJ/mol of formula units: 0


Record 14
Here is a geometry-optimized SrCa2P structure from Alexandria. Energies are from PBE.

Lattice parameters (Å, degrees): 4.177 6.902 6.906 52.77 90.00 90.00
Fractional positions:
Ca (0.000, 0.403, 0.403)
Ca (0.000, 0.097, 0.097)
Sr (0.500, 0.750, 0.750)
P (0.500, 0.250, 0.250)

Computed properties:
Calculated volume in Å³/cell: 159
Formation energy from the elements in meV per atom: -596
Magnetic moment in μB per atom: 0.000


Record 15
Here is a geometry-optimized CsSi2Pt structure from Alexandria. Energies are from PBE.

Lattice parameters (Å, degrees): 4.136 4.136 7.330 73.61 73.61 60.00
Fractional positions:
Cs (0.500, 0.500, 0.500)
Pt (0.000, 0.000, 0.000)
Si (0.300, 0.300, 0.099)
Si (0.700, 0.700, 0.901)

Computed properties:
Calculated volume in Å³/cell: 103
Formation energy from raw total energies in meV/atom: -333
Magnetic moment in μB per atom: 0.000
Energy relative to the lowest polymorph listed for this composition in kJ/mol of formula units: 0


Record 16
Here is a geometry-optimized SmAsIr structure from Alexandria. Energies are from PBE.

Lattice parameters (Å, degrees): 4.583 4.583 7.972 73.30 73.30 60.00
Fractional positions:
As (0.881, 0.881, 0.357)
Sm (0.385, 0.385, 0.844)
Ir (0.768, 0.768, 0.696)
Ir (0.232, 0.232, 0.304)
As (0.119, 0.119, 0.643)
Sm (0.615, 0.615, 0.156)

Computed properties:
Calculated volume in Å³/cell: 137
Formation energy from the elements in meV per atom: -515
Magnetic moment in μB per atom: 0.000


Record 17
Here is a geometry-optimized Sm2GdGa structure from Alexandria. Energies are from PBE.

Lattice parameters (Å, degrees): 4.768 4.807 4.807 90.00 90.00 90.00
Fractional positions:
Sm (0.000, 0.500, 0.000)
Ga (0.500, 0.000, 0.000)
Gd (0.500, 0.500, 0.500)
Sm (0.000, 0.000, 0.500)

Computed properties:
Calculated volume in Å³/cell: 110
Formation energy from the elements in meV per atom: -252
Magnetic moment in μB per atom: 1.970
Energy relative to the lowest polymorph listed for this composition in kJ/mol of formula units: 0


Record 18
Here is a geometry-optimized LiFeAs structure from Alexandria. Energies are from PBE.

Lattice parameters (Å, degrees): 3.437 3.437 6.742 90.00 90.00 90.00
Fractional positions:
As (0.500, 0.000, 0.776)
Fe (0.000, 0.500, 0.879)
As (0.000, 0.500, 0.224)
Li (0.500, 0.500, 0.500)
Fe (0.500, 0.000, 0.121)
Li (0.000, 0.000, 0.500)

Computed properties:
Calculated volume in Å³/cell: 80
Formation energy from the elements in meV per atom: -170
Magnetic moment in μB per atom: 0.582


Record 19
Here is a geometry-optimized KHg8H6 structure from Alexandria. Energies are from PBE.

Lattice parameters (Å, degrees): 7.094 6.132 10.251 73.84 71.16 47.77
Fractional positions:
H (0.224, 0.972, 0.188)
H (0.544, 0.663, 0.905)
Hg (0.353, 0.308, 0.282)
Hg (0.454, 0.272, 0.864)
Hg (0.790, 0.727, 0.407)
Hg (0.779, 0.232, 0.417)
Hg (0.221, 0.768, 0.583)
H (0.870, 0.494, 0.090)
Hg (0.210, 0.273, 0.593)
Hg (0.546, 0.728, 0.136)
Hg (0.647, 0.692, 0.718)
K (0.000, 0.000, 0.000)
H (0.130, 0.506, 0.910)
H (0.776, 0.028, 0.812)
H (0.456, 0.337, 0.095)

Computed properties:
Calculated volume in Å³/cell: 311
Calculated total energy in eV per atom: -1.4291
Magnetic moment in μB per atom: 0.000


Record 20
Here is a geometry-optimized Pr3ZnSi2Pt9 structure from Alexandria. Energies are from PBE.

Lattice parameters (Å, degrees): 5.778 5.778 10.688 90.00 90.00 120.00
Fractional positions:
Pt (0.162, 0.323, 0.313)
Pt (0.162, 0.838, 0.313)
Pt (0.838, 0.677, 0.687)
Pt (0.838, 0.162, 0.687)
Pt (0.500, 0.000, 0.000)
Pr (0.667, 0.333, 0.409)
Si (0.333, 0.667, 0.163)
Pt (0.000, 0.500, 0.000)
Zn (0.000, 0.000, 0.500)
Pt (0.323, 0.162, 0.687)
Pt (0.500, 0.500, 0.000)
Si (0.667, 0.333, 0.837)
Pr (0.333, 0.667, 0.591)
Pr (0.000, 0.000, 0.000)
Pt (0.677, 0.838, 0.313)

Computed properties:
Calculated volume in Å³/cell: 309
Formation energy from raw total energies in meV/atom: -801
Magnetic moment in μB per atom: 0.000


Record 21
Here is a geometry-optimized LaNi3Rh structure from Alexandria. Energies are from PBE.

Lattice parameters (Å, degrees): 4.577 4.577 4.577 90.00 90.00 90.00
Fractional positions:
Rh (0.500, 0.500, 0.500)
Ni (0.500, 0.000, 0.000)
La (0.000, 0.000, 0.000)
Ni (0.000, 0.000, 0.500)
Ni (0.000, 0.500, 0.000)

Computed properties:
Calculated volume in Å³/cell: 96
Formation energy from the elements in meV per atom: 1413
Magnetic moment in μB per atom: 0.000
Energy relative to the lowest polymorph listed for this composition in kJ/mol of formula units: 540


Record 22
Here is a geometry-optimized LiCa2Ho3Se6 structure from Alexandria. Energies are from PBE.

Lattice parameters (Å, degrees): 7.041 7.041 7.167 99.42 99.42 120.02
Fractional positions:
Se (0.916, 0.589, 0.747)
Ca (0.666, 0.334, 0.000)
Ho (0.500, 0.500, 0.500)
Se (0.589, 0.916, 0.747)
Se (0.758, 0.758, 0.254)
Se (0.411, 0.084, 0.253)
Ho (0.832, 0.168, 0.500)
Se (0.242, 0.242, 0.746)
Ho (0.168, 0.832, 0.500)
Se (0.084, 0.411, 0.253)
Li (0.000, 0.000, 0.000)
Ca (0.334, 0.666, 0.000)

Computed properties:
Calculated volume in Å³/cell: 291
Formation energy from raw total energies in meV/atom: -1817
Magnetic moment in μB per atom: 0.000


Record 23
Here is a geometry-optimized KLaSc3 structure from Alexandria. Energies are from PBE.

Lattice parameters (Å, degrees): 5.588 5.588 5.588 90.00 90.00 90.00
Fractional positions:
Sc (0.500, 0.000, 0.000)
K (0.500, 0.500, 0.500)
Sc (0.000, 0.500, 0.000)
Sc (0.000, 0.000, 0.500)
La (0.000, 0.000, 0.000)

Computed properties:
Calculated volume in Å³/cell: 174
Formation energy from the elements in meV per atom: 870
Magnetic moment in μB per atom: 0.197
Energy relative to the lowest polymorph listed for this composition in kJ/mol of formula units: 0


Record 24
Here is a geometry-optimized CaAg2TeAu structure from Alexandria. Energies are from PBE.

Lattice parameters (Å, degrees): 5.242 5.954 5.242 90.00 90.00 90.00
Fractional positions:
Ca (0.000, 0.500, 0.000)
Ag (0.000, 0.000, 0.500)
Ag (0.500, 0.000, 0.000)
Te (0.000, 0.000, 0.000)
Au (0.500, 0.500, 0.500)

Computed properties:
Calculated volume in Å³/cell: 164
Formation energy from raw total energies in meV/atom: 81
Magnetic moment in μB per atom: 0.000